Entry 1:
Material: Ca5Zn2Sn5
Method: DFT, GGA-PBE
State: relaxed

Values from the calculation:
* calculated volume: 326 Å³ per cell
* D(E_F): 4.85 states/eV/f.u.
* DFT total energy: -3.25 eV per atom

POSCAR file:
```
Ca5Zn2Sn5
1.0
8.442 -2.371 0.000
8.442 2.371 0.000
-6.054 0.000 8.134
Ca Zn Sn
5 2 5
Direct
0.000 0.000 0.000
0.142 0.142 0.449
0.145 0.145 0.836
0.855 0.855 0.164
0.858 0.858 0.551
0.347 0.347 0.841
0.653 0.653 0.159
0.260 0.260 0.261
0.497 0.497 0.194
0.500 0.500 0.500
0.503 0.503 0.806
0.740 0.740 0.739
```


Entry 2:
Material: CaZnSn3
Method: DFT, GGA-PBE
State: relaxed

Values from the calculation:
* calculated volume: 198 Å³ per cell
* D(E_F): 5.66 states/eV/f.u.
* DFT total energy: -2.30 eV per atom

POSCAR file:
```
CaZnSn3
1.0
5.831 0.000 0.000
0.000 5.831 0.000
0.000 0.000 5.831
Ca Zn Sn
1 1 3
Direct
0.000 0.000 0.000
0.500 0.500 0.500
0.000 0.000 0.500
0.000 0.500 0.000
0.500 0.000 0.000
```


Entry 3:
Material: Ca4ZnSn2
Method: DFT, GGA-PBE
State: relaxed

Values from the calculation:
* calculated volume: 238 Å³ per cell
* D(E_F): 5.43 states/eV/f.u.
* DFT total energy: -2.68 eV per atom

POSCAR file:
```
Ca4ZnSn2
1.0
-2.703 2.703 8.161
2.703 -2.703 8.161
2.703 2.703 -8.161
Ca Zn Sn
4 1 2
Direct
0.000 0.500 0.500
0.185 0.185 0.000
0.500 0.000 0.500
0.815 0.815 0.000
0.000 0.000 0.000
0.380 0.380 0.000
0.620 0.620 0.000
```